Material: VAg3F
Method: DFT, PBE+U
State: optimized geometry

Summary:
Symmetry   Pm-3m
N(E_F)   4.00 states/eV/f.u.
Crystal system   cubic
E above lowest polymorph   0.00 eV per formula unit
Total magnetization   0.698 μB/atom
Theoretical density   6619 kg/m³

Lattice parameters (Å, degrees): 4.622 4.622 4.622 90.00 90.00 90.00
Positions (direct):
V (0.500, 0.500, 0.500)
Ag (0.000, 0.500, 0.000)
Ag (0.000, 0.000, 0.500)
Ag (0.500, 0.000, 0.000)
F (0.000, 0.000, 0.000)